(1)
! CsRbSe, relaxed, DFT PBE; values from VASP
! Total moment: 0.0 μB/cell
! E_form (uncorrected): -0.907 eV per atom
&SYSTEM
  ibrav = 0, nat = 3, ntyp = 3
/
ATOMIC_SPECIES
Rb 85.47 Rb.upf
Se 78.96 Se.upf
Cs 132.91 Cs.upf
CELL_PARAMETERS angstrom
-2.575 -3.738 1.275
3.283 -2.872 -1.789
2.165 3.203 5.043
ATOMIC_POSITIONS crystal
Rb 0.603 0.603 0.206
Se 0.953 0.953 0.906
Cs 0.294 0.294 0.588

***

(2)
! CsRbSe, relaxed, DFT PBE; values from VASP
! Total moment: 0.0 μB/cell
! E_form (uncorrected): -0.958 eV per atom
&SYSTEM
  ibrav = 0, nat = 3, ntyp = 3
/
ATOMIC_SPECIES
Cs 132.91 Cs.upf
Rb 85.47 Rb.upf
Se 78.96 Se.upf
CELL_PARAMETERS angstrom
-2.384 -5.512 -0.007
1.902 -0.829 5.028
-4.948 2.141 -0.717
ATOMIC_POSITIONS crystal
Cs 0.746 0.667 0.333
Rb 0.229 0.333 0.667
Se 0.024 0.000 0.000

***

(3)
! Cs3RbSe4, relaxed, DFT PBE; values from VASP
! Total moment: 0.0 μB/cell
! E_form (uncorrected): -0.903 eV per atom
&SYSTEM
  ibrav = 0, nat = 8, ntyp = 3
/
ATOMIC_SPECIES
Cs 132.91 Cs.upf
Se 78.96 Se.upf
Rb 85.47 Rb.upf
CELL_PARAMETERS angstrom
-2.779 0.356 -4.559
4.723 -3.755 -3.172
-5.970 -6.610 6.262
ATOMIC_POSITIONS crystal
Cs 0.797 0.797 0.594
Se 0.626 0.449 0.251
Cs 0.203 0.203 0.406
Rb 0.500 0.000 0.000
Se 0.626 0.803 0.251
Cs 0.000 0.500 0.000
Se 0.374 0.551 0.749
Se 0.374 0.197 0.749

***

(4)
! Cs6Rb12Se, relaxed, DFT PBE; values from VASP
! Total moment: 0.0 μB/cell
! E_form (uncorrected): -0.158 eV per atom
&SYSTEM
  ibrav = 0, nat = 19, ntyp = 3
/
ATOMIC_SPECIES
Cs 132.91 Cs.upf
Rb 85.47 Rb.upf
Se 78.96 Se.upf
CELL_PARAMETERS angstrom
-9.490 -7.569 -1.293
4.412 -10.282 4.882
-4.901 0.320 11.176
ATOMIC_POSITIONS crystal
Cs 0.187 0.187 0.867
Cs 0.813 0.813 0.133
Rb 0.857 0.534 0.856
Cs 0.813 0.133 0.813
Rb 0.526 0.526 0.194
Rb 0.856 0.857 0.534
Rb 0.526 0.194 0.526
Rb 0.144 0.143 0.466
Rb 0.466 0.144 0.143
Rb 0.474 0.474 0.806
Cs 0.187 0.867 0.187
Rb 0.534 0.856 0.857
Se 0.000 0.000 0.000
Rb 0.806 0.474 0.474
Cs 0.867 0.187 0.187
Rb 0.194 0.526 0.526
Cs 0.133 0.813 0.813
Rb 0.474 0.806 0.474
Rb 0.143 0.466 0.144

***

(5)
! CsRbSe2, relaxed, DFT PBE; values from VASP
! Energy above the most stable polymorph in this dataset: 327 meV per atom
! Total moment: 0.3 μB/cell
! E_form (uncorrected): -0.569 eV per atom
&SYSTEM
  ibrav = 0, nat = 8, ntyp = 3
/
ATOMIC_SPECIES
Se 78.96 Se.upf
Rb 85.47 Rb.upf
Cs 132.91 Cs.upf
CELL_PARAMETERS angstrom
-6.667 6.206 -3.189
2.622 -1.860 -9.100
-4.188 -0.222 -6.279
ATOMIC_POSITIONS crystal
Se 0.612 0.125 0.250
Rb 0.500 0.500 0.000
Se 0.138 0.625 0.250
Cs 0.000 0.000 0.000
Se 0.375 0.388 0.750
Rb 0.250 0.750 0.500
Se 0.875 0.862 0.750
Cs 0.750 0.250 0.500

***

(6)
! Cs4Rb2Se, relaxed, DFT PBE; values from VASP
! Energy above the most stable polymorph in this dataset: 19 meV per atom
! Total moment: 0.0 μB/cell
! E_form (uncorrected): -0.390 eV per atom
&SYSTEM
  ibrav = 0, nat = 7, ntyp = 3
/
ATOMIC_SPECIES
Cs 132.91 Cs.upf
Rb 85.47 Rb.upf
Se 78.96 Se.upf
CELL_PARAMETERS angstrom
-3.737 -1.066 -4.978
-5.193 -6.163 5.218
-1.154 9.938 2.744
ATOMIC_POSITIONS crystal
Cs 0.128 0.794 0.256
Cs 0.532 0.232 0.064
Rb 0.189 0.286 0.379
Cs 0.872 0.206 0.744
Rb 0.811 0.714 0.621
Se 0.000 0.000 0.000
Cs 0.468 0.768 0.936

***

DFT total energy for every record listed, in sequence, given in eV/atom: -2.6751 -2.7269 -3.0865 -1.2221 -2.7662 -1.6520.